Entry 1:
Below is crystalline ReBiI2O at its relaxed geometry, with properties calculated at the PBE-GGA level.

The uncorrected formation energy is 0.0414 eV per atom.

The structure belongs to space group P4/mmm (No. 123); the cell edges are 5.732, 5.732 and 3.785 Å and the angles 90.00°, 90.00° and 90.00°. The asymmetric unit holds Re at (0.000, 0.000, 0.000), Bi at (0.500, 0.500, 0.500), I at (0.000, 0.500, 0.000) and O at (0.000, 0.000, 0.500).

Entry 2:
Below is crystalline BiRhIO2 at its relaxed geometry, with properties calculated at the PBE-GGA level.

The uncorrected formation energy is 0.1379 eV per atom.

The structure belongs to space group P4/mmm (No. 123); the cell edges are 4.167, 4.167 and 6.872 Å and the angles 90.00°, 90.00° and 90.00°. The asymmetric unit holds Bi at (0.000, 0.000, 0.000), Rh at (0.500, 0.500, 0.500), I at (0.000, 0.000, 0.500) and O at (0.000, 0.500, 0.000).

Entry 3:
Below is crystalline BiRhIO2 at its relaxed geometry, with properties calculated at the PBE-GGA level.

The uncorrected formation energy is 0.1902 eV per atom.

The structure belongs to space group P4/mmm (No. 123); the cell edges are 4.286, 4.286 and 5.076 Å and the angles 90.00°, 90.00° and 90.00°. The asymmetric unit holds Bi at (0.000, 0.000, 0.000), Rh at (0.500, 0.500, 0.500), I at (0.500, 0.500, 0.000) and O at (0.000, 0.500, 0.500).

Entry 4:
Below is crystalline BiRuIO2 at its relaxed geometry, with properties calculated at the PBE-GGA level.

The uncorrected formation energy is 0.1692 eV per atom.

The structure belongs to space group P4/mmm (No. 123); the cell edges are 4.207, 4.207 and 5.300 Å and the angles 90.00°, 90.00° and 90.00°. The asymmetric unit holds Bi at (0.000, 0.000, 0.000), Ru at (0.500, 0.500, 0.500), I at (0.500, 0.500, 0.000) and O at (0.000, 0.500, 0.500).

Entry 5:
Below is crystalline BiRuIO2 at its relaxed geometry, with properties calculated at the PBE-GGA level.

The uncorrected formation energy is 0.3975 eV per atom.

The structure belongs to space group P4/mmm (No. 123); the cell edges are 4.180, 4.180 and 7.013 Å and the angles 90.00°, 90.00° and 90.00°. The asymmetric unit holds Bi at (0.000, 0.000, 0.000), Ru at (0.500, 0.500, 0.500), I at (0.000, 0.000, 0.500) and O at (0.000, 0.500, 0.000).

Entry 6:
Below is crystalline BiSI2O at its relaxed geometry, with properties calculated at the PBE-GGA level.

The uncorrected formation energy is 0.2341 eV per atom.

The structure belongs to space group P4/mmm (No. 123); the cell edges are 5.945, 5.945 and 3.641 Å and the angles 90.00°, 90.00° and 90.00°. The asymmetric unit holds Bi at (0.000, 0.000, 0.000), S at (0.500, 0.500, 0.500), I at (0.000, 0.500, 0.500) and O at (0.500, 0.500, 0.000).

Entry 7:
Below is crystalline BiSI2O at its relaxed geometry, with properties calculated at the PBE-GGA level.

The uncorrected formation energy is 0.2569 eV per atom.

The structure belongs to space group P4/mmm (No. 123); the cell edges are 6.267, 6.267 and 4.278 Å and the angles 90.00°, 90.00° and 90.00°. The asymmetric unit holds Bi at (0.000, 0.000, 0.000), S at (0.500, 0.500, 0.500), I at (0.000, 0.500, 0.000) and O at (0.000, 0.000, 0.500).

Entry 8:
Below is crystalline BiSIO4 at its relaxed geometry, with properties calculated at the PBE-GGA level.

The uncorrected formation energy is -1.1321 eV per atom.

The structure belongs to space group C2/m (No. 12); the cell edges are 12.912, 7.080 and 8.274 Å and the angles 90.00°, 113.94° and 90.00°. The asymmetric unit holds Bi at (0.165, 0.000, 0.245), S at (0.188, 0.500, 0.356), I at (0.075, 0.000, 0.821), O at (0.133, 0.500, 0.481), O at (0.159, 0.332, 0.236) and O at (0.184, 0.000, 0.534).